{
  "formula": "TaAlBr2",
  "functional": "GGA-PBE",
  "state": "relaxed",
  "lattice_angstrom": [[3.1737, 0.0000, 0.0000], [0.0000, 3.1737, 0.0000], [0.0000, 0.0000, 8.8468]],
  "species": ["Ta", "Al", "Br", "Br"],
  "frac_coords": [[0.0000, 0.0000, 0.0000], [0.5000, 0.5000, 0.2113], [0.0000, 0.0000, 0.4160], [0.5000, 0.5000, 0.8138]],
  "polymorph_energy_ev_per_atom": 0.334,
  "total_energy_ev_per_cell": -19.23
}

***

{
  "formula": "TaAlBr2",
  "functional": "GGA-PBE",
  "state": "relaxed",
  "lattice_angstrom": [[4.8151, 0.0000, 0.0000], [0.0000, 3.1415, 0.0000], [-1.5455, 0.0000, 5.3052]],
  "species": ["Ta", "Al", "Br", "Br"],
  "frac_coords": [[0.0000, 0.0000, 0.0000], [0.0000, 0.5000, 0.5000], [0.5000, 0.0000, 0.5000], [0.5000, 0.5000, 0.0000]],
  "polymorph_energy_ev_per_atom": 0.802,
  "total_energy_ev_per_cell": -17.36
}

***

{
  "formula": "TaAl2Br",
  "functional": "GGA-PBE",
  "state": "relaxed",
  "lattice_angstrom": [[3.0589, 0.0000, 0.0000], [0.0000, 3.0589, 0.0000], [0.0000, 0.0000, 8.1676]],
  "species": ["Ta", "Al", "Al", "Br"],
  "frac_coords": [[0.0000, 0.0000, 0.0000], [0.5000, 0.5000, 0.2243], [0.5000, 0.5000, 0.7757], [0.0000, 0.0000, 0.5000]],
  "polymorph_energy_ev_per_atom": 0.145,
  "total_energy_ev_per_cell": -20.70
}

***

{
  "formula": "Ta2AlBr",
  "functional": "GGA-PBE",
  "state": "relaxed",
  "lattice_angstrom": [[0.0000, 3.3315, 3.3315], [3.3315, 0.0000, 3.3315], [3.3315, 3.3315, 0.0000]],
  "species": ["Ta", "Ta", "Al", "Br"],
  "frac_coords": [[0.0000, 0.0000, 0.0000], [0.2500, 0.2500, 0.2500], [0.5000, 0.5000, 0.5000], [0.7500, 0.7500, 0.7500]],
  "polymorph_energy_ev_per_atom": 0.548,
  "total_energy_ev_per_cell": -26.30
}

***

{
  "formula": "TaAlBr2",
  "functional": "GGA-PBE",
  "state": "relaxed",
  "lattice_angstrom": [[3.1445, 0.0000, 0.0000], [0.0000, 3.1445, 0.0000], [0.0000, 0.0000, 10.7348]],
  "species": ["Ta", "Al", "Br", "Br"],
  "frac_coords": [[0.0000, 0.0000, 0.0000], [0.0000, 0.0000, 0.5000], [0.5000, 0.5000, 0.1538], [0.5000, 0.5000, 0.8462]],
  "polymorph_energy_ev_per_atom": 0.715,
  "total_energy_ev_per_cell": -17.71
}

***

{
  "formula": "TaAl2Br",
  "functional": "GGA-PBE",
  "state": "relaxed",
  "lattice_angstrom": [[3.0626, 0.0000, 0.0000], [0.0000, 3.0872, 0.0000], [0.0000, 0.0000, 8.2124]],
  "species": ["Ta", "Al", "Al", "Br"],
  "frac_coords": [[0.0000, 0.0000, 0.0000], [0.5000, 0.5000, 0.2218], [0.5000, 0.5000, 0.7782], [0.0000, 0.5000, 0.5000]],
  "polymorph_energy_ev_per_atom": 0.000,
  "total_energy_ev_per_cell": -21.28
}

***

{
  "formula": "Ta2AlBr",
  "functional": "GGA-PBE",
  "state": "relaxed",
  "lattice_angstrom": [[-2.0640, 2.0640, 4.2949], [2.0640, -2.0640, 4.2949], [2.0640, 2.0640, -4.2949]],
  "species": ["Ta", "Ta", "Al", "Br"],
  "frac_coords": [[0.0000, 0.0000, 0.0000], [0.7500, 0.2500, 0.5000], [0.2500, 0.7500, 0.5000], [0.5000, 0.5000, 0.0000]],
  "polymorph_energy_ev_per_atom": 0.459,
  "total_energy_ev_per_cell": -26.66
}

***

{
  "formula": "TaAlBr2",
  "functional": "GGA-PBE",
  "state": "relaxed",
  "lattice_angstrom": [[1.5519, -2.9981, 0.0000], [1.5519, 2.9981, 0.0000], [0.0000, 0.0000, 10.1208]],
  "species": ["Ta", "Al", "Br", "Br"],
  "frac_coords": [[0.0000, 0.0000, 0.0000], [0.0000, 0.0000, 0.5000], [0.5000, 0.5000, 0.2129], [0.5000, 0.5000, 0.7871]],
  "polymorph_energy_ev_per_atom": 0.598,
  "total_energy_ev_per_cell": -18.17
}

***

{
  "formula": "Ta2AlBr",
  "functional": "GGA-PBE",
  "state": "relaxed",
  "lattice_angstrom": [[-1.5083, 2.4269, 5.0408], [1.5083, -2.4269, 5.0408], [1.5083, 2.4269, -5.0408]],
  "species": ["Ta", "Ta", "Al", "Br"],
  "frac_coords": [[0.0000, 0.0000, 0.0000], [0.7286, 0.2286, 0.5000], [0.2355, 0.7355, 0.5000], [0.5146, 0.5146, 0.0000]],
  "polymorph_energy_ev_per_atom": 0.255,
  "total_energy_ev_per_cell": -27.47
}

***

{
  "formula": "TaAlBr2",
  "functional": "GGA-PBE",
  "state": "relaxed",
  "lattice_angstrom": [[-1.5809, 2.4759, 6.1116], [1.5809, -2.4759, 6.1116], [1.5809, 2.4759, -6.1116]],
  "species": ["Ta", "Al", "Br", "Br"],
  "frac_coords": [[0.0000, 0.0000, 0.0000], [0.1826, 0.6826, 0.5000], [0.5241, 0.5241, 0.0000], [0.8248, 0.3248, 0.5000]],
  "polymorph_energy_ev_per_atom": 0.668,
  "total_energy_ev_per_cell": -17.89
}

***

{
  "formula": "Ta2AlBr",
  "functional": "GGA-PBE",
  "state": "relaxed",
  "lattice_angstrom": [[3.2041, 0.0000, 0.0000], [0.0000, 3.2041, 0.0000], [0.0000, 0.0000, 8.2953]],
  "species": ["Ta", "Ta", "Al", "Br"],
  "frac_coords": [[0.0000, 0.0000, 0.0000], [0.5000, 0.5000, 0.2141], [0.0000, 0.0000, 0.3948], [0.5000, 0.5000, 0.7718]],
  "polymorph_energy_ev_per_atom": 0.041,
  "total_energy_ev_per_cell": -28.33
}

***

{
  "formula": "Ta2AlBr",
  "functional": "GGA-PBE",
  "state": "relaxed",
  "lattice_angstrom": [[-1.4883, 2.6642, 4.7268], [1.4883, -2.6642, 4.7268], [1.4883, 2.6642, -4.7268]],
  "species": ["Ta", "Ta", "Al", "Br"],
  "frac_coords": [[0.2423, 0.2423, 0.0000], [0.7577, 0.7577, 0.0000], [0.5000, 0.0000, 0.5000], [0.0000, 0.5000, 0.5000]],
  "polymorph_energy_ev_per_atom": 0.288,
  "total_energy_ev_per_cell": -27.34
}